{
  "formula": "Ac3Al3Au8",
  "functional": "GGA-PBE",
  "state": "relaxed",
  "ef_ev_per_atom": -0.718,
  "lattice": [[4.503, 0.000, 1.188], [1.378, 7.877, 3.908], [0.018, 0.149, 9.061]],
  "species": ["Au", "Au", "Au", "Au", "Au", "Au", "Au", "Au", "Al", "Al", "Al", "Ac", "Ac", "Ac"],
  "fractional_positions": [[0.517, 0.655, 0.312], [0.483, 0.345, 0.688], [0.360, 0.038, 0.241], [0.144, 0.564, 0.149], [0.640, 0.962, 0.759], [0.887, 0.830, 0.396], [0.856, 0.436, 0.851], [0.113, 0.170, 0.604], [0.000, 0.500, 0.500], [0.673, 0.657, 0.997], [0.327, 0.343, 0.003], [0.295, 0.745, 0.665], [0.705, 0.255, 0.335], [0.000, 0.000, 0.000]]
}